Computed, not measured: a relaxed Nd5Y2ErTh crystal at the PBE-GGA level of DFT.

## Properties
Its energy of formation is 0.14 eV per atom.

The structure in POSCAR format:
```
Nd5Y2ErTh
1.0
-4.8295 2.4241 -0.5679
1.1560 -5.9896 -9.4049
-4.7032 -8.2715 4.6897
Er Nd Th Y
2 10 2 4
direct
0.3977 0.7954 0.5083
0.6023 0.2046 0.0083
0.2782 0.5564 0.7013
0.7217 0.4434 0.8149
0.5000 0.0000 0.2582
0.2783 0.5566 0.3149
0.9990 0.9980 0.0083
0.3754 0.7507 0.0082
0.0010 0.0020 0.5083
0.5000 0.0000 0.7582
0.6246 0.2493 0.5082
0.7218 0.4436 0.2013
0.2134 0.4269 0.0081
0.7866 0.5731 0.5081
0.8867 0.7735 0.7567
0.1133 0.2265 0.2567
0.1132 0.2263 0.7599
0.8868 0.7737 0.2599
```



Computed, not measured: a relaxed LiYBRu2 crystal at the PBE-GGA level of DFT.

## Properties
The value obtained for the energy above the most stable polymorph in this dataset is 0.0000 eV per atom. Its energy of formation is -0.25 eV per atom.

The structure in POSCAR format:
```
LiYBRu2
1.0
-1.1975 2.9165 2.7798
-3.9791 -1.3114 -0.3383
0.6321 -2.7261 3.1325
Ru Li B Y
2 1 1 1
direct
0.0000 0.5000 0.0000
0.5000 0.0000 0.0000
0.0000 0.0000 0.5000
0.0000 0.0000 0.0000
0.5000 0.5000 0.5000
```



Computed, not measured: a relaxed SmTlZnHg crystal at the PBE-GGA level of DFT.

## Properties
Its energy of formation is -0.22 eV per atom.

The structure in POSCAR format:
```
SmTlZnHg
1.0
5.1574 0.0000 0.0000
2.5787 4.4665 0.0000
2.5787 1.4888 4.2110
Tl Zn Sm Hg
1 1 1 1
direct
0.2500 0.2500 0.2500
0.5000 0.5000 0.5000
0.7500 0.7500 0.7500
0.0000 0.0000 0.0000
```



Computed, not measured: a relaxed CoTeRu2 crystal at the PBE-GGA level of DFT.

## Properties
The calculation puts the uncorrected formation energy at 1.6 eV per formula unit.

The structure in POSCAR format:
```
CoTeRu2
1.0
-1.1729 4.2273 -1.4929
-0.4283 2.5445 -3.8492
-4.5366 -0.7268 -0.9147
Co Te Ru
1 1 2
direct
0.7438 0.7438 0.7754
0.4978 0.4978 0.5154
0.2558 0.2558 0.2214
0.0026 0.0026 0.9878
```



Computed, not measured: a relaxed Pm2YPt3 crystal at the PBE-GGA level of DFT.

## Properties
Its energy of formation is -1.11 eV per atom.

The structure in POSCAR format:
```
Pm2YPt3
1.0
5.0276 0.0000 0.0000
-2.5138 4.3540 0.0000
0.0000 0.0000 6.1839
Y Pt Pm
1 3 2
direct
0.0000 0.0000 0.0000
0.3333 0.6667 0.1537
0.6667 0.3333 0.8463
0.0000 0.0000 0.5000
0.3333 0.6667 0.6674
0.6667 0.3333 0.3326
```



Computed, not measured: a relaxed KTaAsSe2 crystal at the PBE-GGA level of DFT.

## Properties
The value obtained for the energy above the most stable polymorph in this dataset is 2.4249 eV per atom. The calculation puts the uncorrected formation energy at 9.5 eV per formula unit.

The structure in POSCAR format:
```
KTaAsSe2
1.0
-0.1959 -3.9034 3.5179
-1.3006 -3.3748 -3.8170
4.9139 -0.9771 -0.8105
K Se As Ta
1 2 1 1
direct
0.0000 0.0000 0.0000
0.5000 0.0000 0.0000
0.0000 0.5000 0.0000
0.0000 0.0000 0.5000
0.5000 0.5000 0.5000
```



Computed, not measured: a relaxed TiRhAu2 crystal at the PBE-GGA level of DFT.

## Properties
Its energy of formation is -0.46 eV per atom.

The structure in POSCAR format:
```
TiRhAu2
1.0
3.8348 0.0000 -1.3261
0.0000 4.0687 0.0000
-1.2402 0.0000 8.8376
Au Ti Rh
4 2 2
direct
0.2503 0.7500 0.0003
0.7497 0.2500 0.9997
0.4933 0.7500 0.7431
0.5067 0.2500 0.2569
0.9633 0.2500 0.7131
0.0367 0.7500 0.2869
0.7498 0.7500 0.4996
0.2502 0.2500 0.5004
```



Computed, not measured: a relaxed HfC crystal at the PBE-GGA level of DFT.

## Properties
The value obtained for the energy above the most stable polymorph in this dataset is 0.2673 eV per atom. Its energy of formation is -0.68 eV per atom.

The structure in POSCAR format:
```
HfC
1.0
-3.3624 0.5594 -1.7899
3.0482 -1.2667 -1.9815
-1.2208 -4.3826 0.9236
C Hf
2 2
direct
0.6667 0.3333 0.7952
0.3333 0.6667 0.2952
0.3333 0.6667 0.7868
0.6667 0.3333 0.2868
```